[1]
This record from Alexandria describes an optimized crystal structure of La2Sm8Hg. The functional is PBE-GGA.

POSCAR file:
```
La2Sm8Hg
1.0
-4.406 3.087 -1.601
-3.451 -6.356 -2.759
-0.106 -0.392 9.377
Sm La Hg
8 2 1
Cartesian
-6.308 -2.585 2.536
-3.826 -2.714 5.298
-4.137 -0.947 -0.280
-2.735 -4.864 -1.852
-1.655 -1.076 2.481
-1.781 0.362 5.601
-5.228 1.203 6.869
-6.182 -4.024 -0.584
-4.811 0.149 3.688
-3.152 -3.810 1.329
-2.203 1.543 -0.800
```

Output
The formation energy comes out at 0.024 eV per atom. The raw total energy is -4.33 eV per atom. The value obtained for the total magnetization is 0.00 μB/f.u.

***

[2]
This record from Alexandria describes an optimized crystal structure of LaSm4Hg. The functional is PBE-GGA.

POSCAR file:
```
LaSm4Hg
1.0
6.464 -0.733 0.000
-2.564 8.829 0.000
-1.950 -4.048 7.080
Sm La Hg
8 2 2
Cartesian
1.875 3.219 4.427
-1.548 2.058 5.421
3.634 5.739 1.659
-1.684 -1.691 5.421
-1.207 5.243 4.427
0.075 0.829 2.653
3.498 1.990 1.659
3.157 -1.195 2.653
0.334 4.231 1.310
1.616 -0.183 5.770
1.616 -0.183 0.015
0.334 4.231 7.064
```

Output
The formation energy comes out at -0.061 eV per atom. The raw total energy is -4.08 eV per atom. The value obtained for the total magnetization is 0.00 μB/f.u. Its excess energy over the best structure of this formula in the dataset is 0.083 eV/atom.

***

[3]
This record from Alexandria describes an optimized crystal structure of La3Sm2Hg2. The functional is PBE-GGA.

POSCAR file:
```
La3Sm2Hg2
1.0
-1.832 -0.301 -4.568
3.156 -1.326 -1.179
-4.774 -11.368 0.003
Sm La Hg
2 3 2
Cartesian
-0.946 -5.488 -1.920
-2.504 -7.507 -3.823
-3.705 -8.258 -0.631
-2.902 -3.411 -3.934
0.000 0.000 0.000
0.121 -2.388 -2.552
-3.571 -10.607 -3.191
```

Output
The formation energy comes out at -0.150 eV per atom. The raw total energy is -3.70 eV per atom. The value obtained for the total magnetization is 0.00 μB/f.u.

***

[4]
This record from Alexandria describes an optimized crystal structure of La4SmHg3. The functional is PBE-GGA.

POSCAR file:
```
La4SmHg3
1.0
-0.199 -1.274 3.575
-5.270 -1.813 -0.940
4.119 -10.204 -3.407
La Hg Sm
4 3 1
Cartesian
0.000 0.000 0.000
2.059 -5.102 -1.704
0.394 -8.412 -2.976
-1.546 -3.606 -1.371
0.889 -3.086 0.970
3.031 -8.392 -0.802
-0.676 -6.646 -0.386
-2.735 -1.544 1.318
```

Output
The formation energy comes out at -0.329 eV per atom. The raw total energy is -3.50 eV per atom. The value obtained for the total magnetization is 0.74 μB/f.u.

***

[5]
This record from Alexandria describes an optimized crystal structure of LaSm2Hg. The functional is PBE-GGA.

POSCAR file:
```
LaSm2Hg
1.0
-2.138 0.364 4.448
3.423 -3.018 1.892
2.852 3.894 1.052
Hg La Sm
1 1 2
Cartesian
2.069 0.620 3.696
-1.069 0.182 2.224
1.426 1.947 0.526
1.711 -1.509 0.946
```

Output
The formation energy comes out at -0.169 eV per atom. The raw total energy is -3.84 eV per atom. The value obtained for the total magnetization is 0.00 μB/f.u. Its excess energy over the best structure of this formula in the dataset is 0.063 eV/atom.

***

[6]
This record from Alexandria describes an optimized crystal structure of La2Sm3Hg4. The functional is PBE-GGA.

POSCAR file:
```
La2Sm3Hg4
1.0
-2.561 6.633 -0.945
-1.872 0.453 8.257
9.467 0.082 2.142
La Hg Sm
4 8 6
Cartesian
4.573 6.256 4.305
-1.436 4.377 7.399
0.461 0.912 5.150
6.470 2.790 2.056
5.095 4.962 7.413
4.082 5.576 0.858
-1.341 5.523 1.569
-0.061 2.206 2.042
6.376 1.645 7.885
0.506 4.707 4.448
0.952 1.592 8.597
4.528 2.461 5.007
3.513 0.457 7.301
0.000 0.000 0.000
-2.217 3.543 3.656
2.233 3.773 6.829
1.521 6.711 2.153
2.802 3.394 2.626
```

Output
The formation energy comes out at -0.348 eV per atom. The raw total energy is -3.15 eV per atom. The value obtained for the total magnetization is 0.05 μB/f.u. Its excess energy over the best structure of this formula in the dataset is 0.037 eV/atom.